[1]
Tb2Y4Se9: optimized geometry, PBE.

a b c (Å): 7.2168 7.2193 19.5161
angles (deg): 90.01 90.03 60.03
Positions (direct):
Tb (0.9989, 0.0015, 0.3481)
Tb (0.9998, 0.9989, 0.1517)
Tb (0.0011, 0.9985, 0.6519)
Tb (0.0002, 0.0011, 0.8483)
Y (0.3330, 0.3335, 0.9854)
Y (0.3339, 0.3332, 0.4858)
Y (0.6670, 0.6665, 0.0146)
Y (0.3323, 0.3337, 0.1815)
Y (0.6661, 0.6668, 0.5142)
Y (0.6657, 0.6669, 0.3188)
Y (0.3343, 0.3331, 0.6812)
Y (0.6677, 0.6663, 0.8185)
Se (0.0012, 0.3051, 0.7499)
Se (0.3054, 0.6942, 0.7503)
Se (0.6950, 0.0003, 0.7501)
Se (0.9988, 0.6949, 0.2501)
Se (0.6946, 0.3058, 0.2497)
Se (0.3050, 0.9997, 0.2499)
Se (0.6649, 0.9726, 0.4165)
Se (0.9718, 0.3629, 0.4168)
Se (0.3613, 0.6660, 0.4165)
Se (0.6364, 0.0288, 0.0834)
Se (0.3345, 0.6367, 0.0834)
Se (0.0286, 0.3330, 0.0832)
Se (0.3351, 0.0274, 0.5835)
Se (0.0282, 0.6371, 0.5832)
Se (0.6387, 0.3340, 0.5835)
Se (0.3636, 0.9712, 0.9166)
Se (0.6655, 0.3633, 0.9166)
Se (0.9714, 0.6670, 0.9168)

Results
Spin magnetization in μB per cell: 0.00
Uncorrected formation energy in eV/atom: -1.871
Calculated volume in Å³/cell: 880.9

[2]
Tb2PmDy6Sc3: optimized geometry, PBE.

a b c (Å): 6.0562 6.0562 11.4860
angles (deg): 95.04 95.04 119.97
Positions (direct):
Tb (0.3334, 0.6666, 0.0000)
Tb (0.6666, 0.3334, 0.0000)
Pm (0.0000, 0.0000, 0.0000)
Dy (0.9131, 0.5795, 0.7398)
Dy (0.7533, 0.7533, 0.2603)
Dy (0.0869, 0.4205, 0.2602)
Dy (0.5795, 0.9131, 0.7398)
Dy (0.2467, 0.2467, 0.7397)
Dy (0.4205, 0.0869, 0.2602)
Sc (0.1669, 0.8331, 0.5000)
Sc (0.8331, 0.1669, 0.5000)
Sc (0.5000, 0.5000, 0.5000)

Results
Spin magnetization in μB per cell: 0.00
Calculated volume in Å³/cell: 359.3
DFT formation energy in eV per atom: 0.044

[3]
La6AgRu2I3: optimized geometry, PBE.

a b c (Å): 7.4260 7.4260 8.6775
angles (deg): 98.20 98.20 119.99
Positions (direct):
La (0.9367, 0.5758, 0.8104)
La (0.7021, 0.7021, 0.1885)
La (0.0633, 0.4242, 0.1896)
La (0.5758, 0.9367, 0.8104)
La (0.2979, 0.2979, 0.8115)
La (0.4242, 0.0633, 0.1896)
Ag (0.0000, 0.0000, 0.0000)
Ru (0.3333, 0.6667, 0.0000)
Ru (0.6667, 0.3333, 0.0000)
I (0.1638, 0.8362, 0.5000)
I (0.8362, 0.1638, 0.5000)
I (0.5000, 0.5000, 0.5000)

Results
Spin magnetization in μB per cell: 0.00
Uncorrected formation energy in eV/atom: -0.784
Calculated volume in Å³/cell: 397.2

[4]
KBa2Ni: optimized geometry, PBE.

a b c (Å): 4.2844 4.5976 10.1942
angles (deg): 76.91 90.00 90.00
Positions (direct):
Ba (0.0000, 0.9940, 0.8874)
Ba (0.5000, 0.3452, 0.1845)
K (0.0000, 0.6637, 0.5455)
Ni (0.5000, 0.4970, 0.8826)

Results
Spin magnetization in μB per cell: 0.01
Calculated volume in Å³/cell: 195.6
DFT formation energy in eV per atom: 0.193